[1]
GGA-PBE GdYCo2Si2C, optimized geometry; crystal system = monoclinic; E = -7.167 eV/atom; symmetry = Cm (8)
1.0
5.300 -1.948 0.000
5.300 1.948 0.000
-4.366 0.000 5.256
C Co Gd Si Y
1 2 1 2 1
direct
0.000 0.000 0.998
0.198 0.198 0.087
0.801 0.801 0.913
0.564 0.564 0.298
0.843 0.843 0.294
0.157 0.157 0.707
0.436 0.436 0.703

***

[2]
GGA-PBE LuHgPb, optimized geometry; crystal system = cubic; E = -2.974 eV/atom; symmetry = F-43m (216)
1.0
-1.384 0.095 4.769
-3.987 2.623 1.377
-4.140 -2.341 1.432
Hg Lu Pb
1 1 1
direct
0.000 0.000 0.000
0.250 0.250 0.250
0.750 0.750 0.750

***

Question: Which value of E does entry 1 give?
Answer: -7.167 eV/atom

***

What did the second record say?
GGA-PBE LuHgPb, optimized geometry; crystal system = cubic; E = -2.974 eV/atom; symmetry = F-43m (216)
1.0
-1.384 0.095 4.769
-3.987 2.623 1.377
-4.140 -2.341 1.432
Hg Lu Pb
1 1 1
direct
0.000 0.000 0.000
0.250 0.250 0.250
0.750 0.750 0.750